(1)
VASP calculation (PBE) on TbYTmIn after structural relaxation.

a = 4.8233 Å, b = 4.8557 Å, c = 4.8295 Å
α = 90.00°, β = 90.00°, γ = 90.00°
Element x y z (fractional)
1 Tb 0.0000 0.5000 0.5000
2 Y 0.0000 0.0000 0.0000
3 Tm 0.5000 0.5000 0.0000
4 In 0.5000 0.0000 0.5000

Calculated values
As for the energy relative to the lowest polymorph listed for this composition: 0.0 meV per atom. Its energy relative to the elements is -26 kJ/mol of atoms. As for the total magnetization: 0.013 μB per formula unit. The raw total energy comes out at -0.1780 Ha/atom.

=====

(2)
VASP calculation (PBE) on Zr2TiMo after structural relaxation.

a = 7.4401 Å, b = 7.4401 Å, c = 6.0075 Å
α = 51.74°, β = 51.74°, γ = 90.00°
Element x y z (fractional)
1 Mo 0.0000 0.0000 0.0000
2 Mo 0.7500 0.2500 0.5000
3 Zr 0.6339 0.1250 0.2500
4 Zr 0.1161 0.6250 0.2500
5 Zr 0.3750 0.3661 0.7500
6 Zr 0.8750 0.8839 0.7500
7 Ti 0.5000 0.5000 0.0000
8 Ti 0.2500 0.7500 0.5000

Calculated values
As for the energy relative to the lowest polymorph listed for this composition: 456.5 meV per atom. Its energy relative to the elements is 49 kJ/mol of atoms. As for the total magnetization: 0.000 μB per formula unit. The raw total energy comes out at -0.3103 Ha/atom.

=====

(3)
VASP calculation (PBE) on Mn4SnW after structural relaxation.

a = 4.8325 Å, b = 4.8325 Å, c = 4.8325 Å
α = 60.00°, β = 60.00°, γ = 60.00°
Last column: magnetic moment on the atom in μB.
Element x y z (fractional)
1 Mn 0.6250 0.6250 0.1249  1.26
2 Mn 0.6250 0.1249 0.6250  1.26
3 Mn 0.6250 0.6250 0.6250  1.26
4 Mn 0.1249 0.6250 0.6250  1.26
5 Sn 0.2500 0.2500 0.2500  -0.06
6 W 0.0000 0.0000 0.0000  -0.36

Calculated values
Its energy relative to the elements is 13 kJ/mol of atoms. As for the total magnetization: 4.659 μB per formula unit. The raw total energy comes out at -0.3236 Ha/atom.